1.
Computed, not measured: a geometry-optimized Th2GaC2 structure at the PBE level of DFT.

Final energy in eV/atom: -7.59
Formation enthalpy at 0 K in eV per atom: -0.3224
Calculated density in kg/m³: 9964

Unit cell a=3.8069 b=3.8069 c=12.8293 alpha=90.00 beta=90.00 gamma=90.00
Space group I4/mmm (No. 139)
One atom of each set of equivalent atoms:
Th1 0.0000 0.0000 0.1498 [4 per cell]
Ga1 0.0000 0.0000 0.5000 [2 per cell]
C1 0.0000 0.0000 0.3385 [4 per cell]

---

2.
Computed, not measured: a geometry-optimized Ti3GaC structure at the PBE level of DFT.

Final energy in eV/atom: -7.70
Formation enthalpy at 0 K in eV per atom: -0.5144
Calculated density in kg/m³: 5111

Unit cell a=7.7178 b=5.3546 c=7.7127 alpha=90.00 beta=113.26 gamma=90.00
Space group P2_1/c (No. 14)
One atom of each set of equivalent atoms:
Ti1 0.0503 0.0844 0.3505 [4 per cell]
Ti2 0.1851 0.5772 0.5416 [4 per cell]
Ti3 0.3591 0.1239 0.7597 [4 per cell]
Ga1 0.3815 0.6570 0.9021 [4 per cell]
C1 0.0791 0.2480 0.6077 [4 per cell]

---

3.
Computed, not measured: a geometry-optimized Ti5Ga5C structure at the PBE level of DFT.

Final energy in eV/atom: -6.13
Formation enthalpy at 0 K in eV per atom: -0.3301
Calculated density in kg/m³: 5702

Unit cell a=10.1083 b=4.8431 c=7.9292 alpha=90.00 beta=115.81 gamma=90.00
Space group C2/m (No. 12)
One atom of each set of equivalent atoms:
Ti1 0.0000 0.0000 0.0000 [2 per cell]
Ti2 0.1480 0.5000 0.2692 [4 per cell]
Ti3 0.1676 0.5000 0.9100 [4 per cell]
Ga1 0.0000 0.5000 0.5000 [2 per cell]
Ga2 0.0736 0.0000 0.7187 [4 per cell]
Ga3 0.2179 0.0000 0.3564 [4 per cell]
C1 0.0000 0.5000 0.0000 [2 per cell]

---

4.
Computed, not measured: a geometry-optimized Ti3GaC structure at the PBE level of DFT.

Final energy in eV/atom: -6.83
Formation enthalpy at 0 K in eV per atom: 0.3564
Calculated density in kg/m³: 4555

Unit cell a=7.8853 b=10.0351 c=4.1522 alpha=90.00 beta=90.00 gamma=90.00
Space group Cmcm (No. 63)
One atom of each set of equivalent atoms:
Ti1 0.0000 0.0000 0.0000 [4 per cell]
Ti2 0.1645 0.4014 0.2500 [8 per cell]
Ga1 0.0000 0.2369 0.7500 [4 per cell]
C1 0.0000 0.4294 0.7500 [4 per cell]

---

5.
Computed, not measured: a geometry-optimized Ti3GaC structure at the PBE level of DFT.

Final energy in eV/atom: -7.76
Formation enthalpy at 0 K in eV per atom: -0.5768
Calculated density in kg/m³: 5265

Unit cell a=3.0716 b=10.7182 c=5.2934 alpha=90.00 beta=125.36 gamma=90.00
Space group P2/c (No. 13)
One atom of each set of equivalent atoms:
Ti1 0.0000 0.0299 0.2500 [2 per cell]
Ti2 0.5000 0.2839 0.2500 [2 per cell]
Ti3 0.5000 0.4428 0.7500 [2 per cell]
Ga1 0.5000 0.1870 0.7500 [2 per cell]
C1 0.0000 0.4219 0.2500 [2 per cell]

---

6.
Computed, not measured: a geometry-optimized Ti3GaC structure at the PBE level of DFT.

Final energy in eV/atom: -6.86
Formation enthalpy at 0 K in eV per atom: 0.3280
Calculated density in kg/m³: 3322

Unit cell a=2.8970 b=5.8644 c=13.2577 alpha=90.00 beta=90.00 gamma=90.00
Space group Amm2 (No. 38)
One atom of each set of equivalent atoms:
Ti1 0.0000 0.0000 0.0000 [2 per cell]
Ti2 0.5000 0.2405 0.8476 [4 per cell]
Ga1 0.5000 0.0000 0.1787 [2 per cell]
C1 0.0000 0.0000 0.8370 [2 per cell]

---

7.
Computed, not measured: a geometry-optimized Ti3GaC structure at the PBE level of DFT.

Final energy in eV/atom: -7.60
Formation enthalpy at 0 K in eV per atom: -0.4089
Calculated density in kg/m³: 5192

Unit cell a=4.8673 b=6.0811 c=4.8717 alpha=90.00 beta=91.65 gamma=90.00
Space group P2_1/m (No. 11)
One atom of each set of equivalent atoms:
Ti1 0.1971 0.2500 0.3046 [2 per cell]
Ti2 0.2888 0.9999 0.7903 [4 per cell]
Ga1 0.2042 0.7500 0.2976 [2 per cell]
C1 0.4934 0.2500 0.0064 [2 per cell]

---

8.
Computed, not measured: a geometry-optimized Ti8GaC4 structure at the PBE level of DFT.

Final energy in eV/atom: -8.59
Formation enthalpy at 0 K in eV per atom: -0.6609
Calculated density in kg/m³: 4750

Unit cell a=14.9715 b=3.1190 c=10.5740 alpha=90.00 beta=134.85 gamma=90.00
Space group C2/m (No. 12)
One atom of each set of equivalent atoms:
Ti1 0.0422 0.0000 0.2009 [4 per cell]
Ti2 0.1476 0.5000 0.8345 [4 per cell]
Ti3 0.1566 0.5000 0.1144 [4 per cell]
Ti4 0.1878 0.5000 0.5412 [4 per cell]
Ga1 0.0000 0.0000 0.5000 [2 per cell]
C1 0.1543 0.0000 0.9770 [4 per cell]
C2 0.1768 0.5000 0.3316 [4 per cell]

---

9.
Computed, not measured: a geometry-optimized Ti12Ga6C structure at the PBE level of DFT.

Final energy in eV/atom: -6.63
Formation enthalpy at 0 K in eV per atom: -0.1984
Calculated density in kg/m³: 5259

Unit cell a=10.0423 b=10.0423 c=10.8983 alpha=90.00 beta=90.00 gamma=120.00
Space group R-3 (No. 148, hexagonal axes)
One atom of each set of equivalent atoms:
Ti1 0.0333 0.8589 0.3763 [18 per cell]
Ti2 0.0361 0.1791 0.8821 [18 per cell]
Ga1 0.0038 0.6102 0.2472 [18 per cell]
C1 0.0000 0.0000 0.0000 [3 per cell]

---

10.
Computed, not measured: a geometry-optimized Ti12Ga5C2 structure at the PBE level of DFT.

Final energy in eV/atom: -7.06
Formation enthalpy at 0 K in eV per atom: -0.3060
Calculated density in kg/m³: 5166

Unit cell a=6.1534 b=7.4635 c=13.2565 alpha=90.00 beta=90.00 gamma=90.00
Space group Immm (No. 71)
One atom of each set of equivalent atoms:
Ti1 0.0000 0.1793 0.0000 [4 per cell]
Ti2 0.0000 0.2908 0.5000 [4 per cell]
Ti3 0.2176 0.0000 0.3658 [8 per cell]
Ti4 0.2491 0.5000 0.3463 [8 per cell]
Ga1 0.0000 0.2568 0.2407 [8 per cell]
Ga2 0.0000 0.5000 0.0000 [2 per cell]
C1 0.2380 0.5000 0.5000 [4 per cell]

---

11.
Computed, not measured: a geometry-optimized Ti3GaC structure at the PBE level of DFT.

Final energy in eV/atom: -7.62
Formation enthalpy at 0 K in eV per atom: -0.4354
Calculated density in kg/m³: 5320

Unit cell a=4.9459 b=4.2560 c=6.6829 alpha=90.00 beta=90.00 gamma=90.00
Space group Pmma (No. 51)
One atom of each set of equivalent atoms:
Ti1 0.0000 0.0000 0.0000 [2 per cell]
Ti2 0.2500 0.0000 0.3834 [2 per cell]
Ti3 0.2500 0.5000 0.6968 [2 per cell]
Ga1 0.2500 0.5000 0.1465 [2 per cell]
C1 0.2500 0.0000 0.7060 [2 per cell]

---

12.
Computed, not measured: a geometry-optimized Ti4Ga2C structure at the PBE level of DFT.

Final energy in eV/atom: -7.15
Formation enthalpy at 0 K in eV per atom: -0.4557
Distance to the lowest polymorph of the same formula in eV per atom: 0.050
Calculated density in kg/m³: 5230

Unit cell a=5.2199 b=3.0583 c=7.1398 alpha=90.00 beta=107.20 gamma=90.00
Space group P2/m (No. 10)
One atom of each set of equivalent atoms:
Ti1 0.1232 0.0000 0.2882 [2 per cell]
Ti2 0.3559 0.5000 0.6423 [2 per cell]
Ga1 0.2515 0.5000 0.9980 [2 per cell]
C1 0.5000 0.0000 0.5000 [1 per cell]

---

13.
Computed, not measured: a geometry-optimized Ti3GaC structure at the PBE level of DFT.

Final energy in eV/atom: -7.44
Formation enthalpy at 0 K in eV per atom: -0.2503
Calculated density in kg/m³: 4451

Unit cell a=11.0387 b=11.0387 c=11.0387 alpha=90.00 beta=90.00 gamma=90.00
Space group Fd-3m (No. 227, origin choice 2)
One atom of each set of equivalent atoms:
Ti1 0.0699 0.3750 0.3750 [48 per cell]
Ga1 0.0000 0.0000 0.5000 [16 per cell]
C1 0.0000 0.0000 0.0000 [16 per cell]

---

14.
Computed, not measured: a geometry-optimized Ti5GaC structure at the PBE level of DFT.

Final energy in eV/atom: -7.68
Formation enthalpy at 0 K in eV per atom: -0.2882
Calculated density in kg/m³: 4926

Unit cell a=9.3485 b=5.5991 c=8.8576 alpha=90.00 beta=110.98 gamma=90.00
Space group C2/c (No. 15)
One atom of each set of equivalent atoms:
Ti1 0.0000 0.0317 0.2500 [4 per cell]
Ti2 0.1234 0.3090 0.0443 [8 per cell]
Ti3 0.1971 0.1962 0.6285 [8 per cell]
Ga1 0.0000 0.4803 0.7500 [4 per cell]
C1 0.0000 0.0000 0.0000 [4 per cell]

---

15.
Computed, not measured: a geometry-optimized Ti3GaC structure at the PBE level of DFT.

Final energy in eV/atom: -7.70
Formation enthalpy at 0 K in eV per atom: -0.5088
Calculated density in kg/m³: 5023

Unit cell a=14.4262 b=3.0085 c=6.9024 alpha=90.00 beta=95.94 gamma=90.00
Space group C2/m (No. 12)
One atom of each set of equivalent atoms:
Ti1 0.0516 0.0000 0.2004 [4 per cell]
Ti2 0.0889 0.5000 0.5547 [4 per cell]
Ti3 0.2400 0.5000 0.3133 [4 per cell]
Ga1 0.1388 0.5000 0.9317 [4 per cell]
C1 0.1609 0.0000 0.4277 [4 per cell]

---

16.
Computed, not measured: a geometry-optimized Ti3GaC structure at the PBE level of DFT.

Final energy in eV/atom: -7.05
Formation enthalpy at 0 K in eV per atom: 0.1396
Calculated density in kg/m³: 4515

Unit cell a=4.9517 b=4.9517 c=13.5209 alpha=90.00 beta=90.00 gamma=90.00
Space group I-4m2 (No. 119)
One atom of each set of equivalent atoms:
Ti1 0.0000 0.0000 0.2161 [4 per cell]
Ti2 0.0000 0.2660 0.6098 [8 per cell]
Ga1 0.0000 0.5000 0.1372 [4 per cell]
C1 0.0000 0.0000 0.5000 [2 per cell]
C2 0.0000 0.5000 0.7500 [2 per cell]

---

17.
Computed, not measured: a geometry-optimized Ti6GaC3 structure at the PBE level of DFT.

Final energy in eV/atom: -8.43
Formation enthalpy at 0 K in eV per atom: -0.6261
Calculated density in kg/m³: 4918

Unit cell a=9.0492 b=3.0696 c=9.8175 alpha=90.00 beta=103.33 gamma=90.00
Space group P2_1/m (No. 11)
One atom of each set of equivalent atoms:
Ti1 0.0239 0.2500 0.1308 [2 per cell]
Ti2 0.1168 0.7500 0.4574 [2 per cell]
Ti3 0.1783 0.2500 0.7451 [2 per cell]
Ti4 0.2894 0.7500 0.0275 [2 per cell]
Ti5 0.3082 0.2500 0.2912 [2 per cell]
Ti6 0.4218 0.2500 0.5860 [2 per cell]
Ga1 0.4528 0.7500 0.8294 [2 per cell]
C1 0.0222 0.7500 0.6519 [2 per cell]
C2 0.1319 0.2500 0.9493 [2 per cell]
C3 0.3485 0.7500 0.4369 [2 per cell]

---

18.
Computed, not measured: a geometry-optimized Ti6Ga2C structure at the PBE level of DFT.

Final energy in eV/atom: -7.41
Formation enthalpy at 0 K in eV per atom: -0.4485
Distance to the lowest polymorph of the same formula in eV per atom: 0.000
Calculated density in kg/m³: 5279

Unit cell a=5.8171 b=5.8171 c=8.1559 alpha=90.00 beta=90.00 gamma=90.00
Space group I4/mmm (No. 139)
One atom of each set of equivalent atoms:
Ti1 0.0000 0.0000 0.2430 [4 per cell]
Ti2 0.2456 0.2456 0.0000 [8 per cell]
Ga1 0.0000 0.5000 0.2500 [4 per cell]
C1 0.0000 0.0000 0.5000 [2 per cell]

---

19.
Computed, not measured: a geometry-optimized Ti3GaC structure at the PBE level of DFT.

Final energy in eV/atom: -7.78
Formation enthalpy at 0 K in eV per atom: -0.5939
Calculated density in kg/m³: 5147

Unit cell a=5.8216 b=12.1240 c=4.1204 alpha=90.00 beta=90.00 gamma=90.00
Space group Cmmm (No. 65)
One atom of each set of equivalent atoms:
Ti1 0.0000 0.1268 0.0000 [4 per cell]
Ti2 0.2472 0.0000 0.5000 [4 per cell]
Ti3 0.2500 0.2500 0.5000 [4 per cell]
Ga1 0.0000 0.3692 0.0000 [4 per cell]
C1 0.0000 0.1256 0.5000 [4 per cell]

---

20.
Computed, not measured: a geometry-optimized Ti6Ga2C structure at the PBE level of DFT.

Final energy in eV/atom: -7.39
Formation enthalpy at 0 K in eV per atom: -0.4276
Distance to the lowest polymorph of the same formula in eV per atom: 0.021
Calculated density in kg/m³: 5415

Unit cell a=6.9539 b=6.9539 c=3.2123 alpha=90.00 beta=90.00 gamma=120.00
Space group P-62m (No. 189)
One atom of each set of equivalent atoms:
Ti1 0.0000 0.2306 0.0000 [3 per cell]
Ti2 0.0000 0.6127 0.5000 [3 per cell]
Ga1 0.3333 0.6667 0.0000 [2 per cell]
C1 0.0000 0.0000 0.5000 [1 per cell]